(1)
This record from the Alexandria database describes a relaxed structure of Cs2BiBr6F. The functional is PBE-GGA.

As for the crystal system: tetragonal. The uncorrected formation energy is -1.056 eV per atom. The calculation puts the magnetization at 0.00 μB/cell.

The structure belongs to space group I4/mmm (No. 139); the cell edges are 7.668, 7.668 and 12.139 Å and the angles 90.00°, 90.00° and 90.00°. The inequivalent atoms are Cs at (0.000, 0.500, 0.250), Bi at (0.000, 0.000, 0.000), Br at (0.000, 0.000, 0.231), Br at (0.246, 0.246, 0.500) and F at (0.000, 0.000, 0.500).

---

(2)
This record from the Alexandria database describes a relaxed structure of AcTcSb3. The functional is PBE-GGA.

As for the crystal system: cubic. The uncorrected formation energy is -0.039 eV per atom. The calculation puts the magnetization at 0.00 μB/cell.

The structure belongs to space group Pm-3m (No. 221); the cell edges are 5.263, 5.263 and 5.263 Å and the angles 90.00°, 90.00° and 90.00°. The inequivalent atoms are Ac at (0.000, 0.000, 0.000), Tc at (0.500, 0.500, 0.500) and Sb at (0.000, 0.500, 0.500).

---

(3)
This record from the Alexandria database describes a relaxed structure of Pr2Nd2Rh. The functional is PBE-GGA.

As for the crystal system: monoclinic. The formation energy from the elements is -1.2 eV/f.u. The calculation puts the magnetization at 0.00 μB/cell.

The structure belongs to space group C2/m (No. 12); the cell edges are 7.660, 12.190 and 7.555 Å and the angles 90.00°, 113.47° and 90.00°. The inequivalent atoms are Pr at (0.227, 0.000, 0.405), Pr at (0.242, 0.500, 0.104), Nd at (0.051, 0.276, 0.755) and Rh at (0.000, 0.125, 0.000).

---

(4)
This record from the Alexandria database describes a relaxed structure of Zr2AlPb. The functional is PBE-GGA.

As for the crystal system: trigonal. The formation energy from the elements is 0.3 eV/f.u. The calculation puts the magnetization at 0.00 μB/cell.

The structure belongs to space group R3m (No. 160, hexagonal axes); the cell edges are 3.2651, 3.2651 and 30.7716 Å and the angles 90.00°, 90.00° and 120.00°. The inequivalent atoms are Zr at (0.0000, 0.0000, 0.0000), Zr at (0.0000, 0.0000, 0.2505), Al at (0.0000, 0.0000, 0.5090) and Pb at (0.0000, 0.0000, 0.7547).

---

(5)
This record from the Alexandria database describes a relaxed structure of CaAl2P. The functional is PBE-GGA.

As for the crystal system: orthorhombic. The formation energy from the elements is -0.9 eV/f.u. The calculation puts the magnetization at 0.00 μB/cell.

The structure belongs to space group Imm2 (No. 44); the cell edges are 3.832, 4.458 and 9.501 Å and the angles 90.00°, 90.00° and 90.00°. The inequivalent atoms are Ca at (0.000, 0.000, 0.000), Al at (0.000, 0.000, 0.589), Al at (0.000, 0.500, 0.774) and P at (0.000, 0.500, 0.256).

---

(6)
This record from the Alexandria database describes a relaxed structure of In2Ag6Sn. The functional is PBE-GGA.

As for the crystal system: monoclinic. The formation energy from the elements is 0.4 eV/f.u. The calculation puts the magnetization at 0.00 μB/cell.

The structure belongs to space group C2/m (No. 12); the cell edges are 14.510, 5.845 and 4.684 Å and the angles 90.00°, 108.37° and 90.00°. The inequivalent atoms are In at (0.164, 0.000, 0.166), Ag at (0.106, 0.253, 0.608), Ag at (0.208, 0.500, 0.210) and Sn at (0.000, 0.500, 0.000).

---

(7)
This record from the Alexandria database describes a relaxed structure of Cr2HgBr. The functional is PBE-GGA.

As for the crystal system: tetragonal. The uncorrected formation energy is 0.267 eV per atom. The calculation puts the magnetization at 0.91 μB/cell.

The structure belongs to space group P4mm (No. 99); the cell edges are 3.305, 3.305 and 7.899 Å and the angles 90.00°, 90.00° and 90.00°. The inequivalent atoms are Cr at (0.000, 0.000, 0.000), Cr at (0.500, 0.500, 0.144), Hg at (0.000, 0.000, 0.369) and Br at (0.500, 0.500, 0.807).

---

(8)
This record from the Alexandria database describes a relaxed structure of PmGa2Tc2Ge. The functional is PBE-GGA.

As for the crystal system: tetragonal. The formation energy from the elements is -0.7 eV/f.u. The calculation puts the magnetization at 0.00 μB/cell.

The structure belongs to space group P4/mmm (No. 123); the cell edges are 4.610, 4.610 and 5.645 Å and the angles 90.00°, 90.00° and 90.00°. The inequivalent atoms are Pm at (0.000, 0.000, 0.000), Ga at (0.500, 0.500, 0.241), Tc at (0.000, 0.500, 0.500) and Ge at (0.000, 0.000, 0.500).

---

Total energy readings, ordered: -2.81 -5.41 -5.53 -6.07 -3.96 -2.90 -5.04 -6.15 eV per atom
V readings, ordered: 356.9 145.8 161.8 94.7 81.2 188.5 86.3 120.0 Å³/f.u.